# Ni3AsW

A relaxed structure of Ni3AsW (PBE, Alexandria).

Cell lengths 4.245, 4.245, 4.245 Å; angles 90.00, 90.00, 90.00 degrees
Site moments in Bohr magnetons follow the coordinates.
Fractional positions:
W  0.500  0.500  0.500  1.68
Ni  0.000  0.500  0.000  0.04
As  0.000  0.000  0.000  -0.01
Ni  0.500  0.000  0.000  0.08
Ni  0.000  0.000  0.500  0.13

## Properties
Energy of formation from the pure elements, eV per atom: 0.95
E above lowest polymorph, meV/atom: 0